Record 1
# PBE NaTlS2, optimized geometry
data_NaTlS2
_chemical_formula_sum 'Na2 Tl2 S4'
_cell_length_a 4.621
_cell_length_b 5.453
_cell_length_c 8.475
_cell_angle_alpha 90.00
_cell_angle_beta 90.58
_cell_angle_gamma 90.00
_space_group_name_H-M_alt 'P 1 21/m 1'
_space_group_IT_number 11
loop_
_space_group_symop_operation_xyz
'x,y,z'
'-x,-y,-z'
'-x,y+1/2,-z'
'x,-y+1/2,z'
loop_
_atom_site_label
_atom_site_type_symbol
_atom_site_fract_x
_atom_site_fract_y
_atom_site_fract_z
Na1 Na 0.249 0.250 0.439
Tl1 Tl 0.246 0.750 0.096
S1 S 0.254 0.556 0.721
# total moment: 0.00 μB/cell
# volume: 26.69 A^3/atom
# ΔE_f (raw): -2.1 eV/f.u.
# total DFT energy (no corrections): -0.129 Ha/atom

=====

Record 2
# PBE SrMo2Se, optimized geometry
data_SrMo2Se
_chemical_formula_sum 'Sr3 Mo6 Se3'
_cell_length_a 4.3497
_cell_length_b 4.3497
_cell_length_c 16.7450
_cell_angle_alpha 90.00
_cell_angle_beta 90.00
_cell_angle_gamma 120.00
_space_group_name_H-M_alt 'R 3 m'
_space_group_IT_number 160
_space_group_name_Hall 'R 3 -2"'
loop_
_atom_site_label
_atom_site_type_symbol
_atom_site_fract_x
_atom_site_fract_y
_atom_site_fract_z
Sr1 Sr 0.0000 0.0000 0.0000
Mo1 Mo 0.0000 0.0000 0.5021
Mo2 Mo 0.0000 0.0000 0.7954
Se1 Se 0.0000 0.0000 0.2062
# total moment: 0.00 μB/cell
# volume: 22.86 A^3/atom
# ΔE_f (raw): 0.2 eV/f.u.
# total DFT energy (no corrections): -0.245 Ha/atom